Entry from Alexandria via LeMat-Bulk: an optimized crystal structure of SrMgZr2 (PBE-GGA).

Structure (CIF):
```
data_SrMgZr2
_symmetry_space_group_name_H-M 'R -3 m'
_symmetry_Int_Tables_number 166
_symmetry_space_group_name_Hall '-R 3 2"'
_cell_length_a 3.2711
_cell_length_b 3.2711
_cell_length_c 34.4291
_cell_angle_alpha 90.00
_cell_angle_beta 90.00
_cell_angle_gamma 120.00
loop_
_atom_site_label
_atom_site_type_symbol
_atom_site_fract_x
_atom_site_fract_y
_atom_site_fract_z
Sr1 Sr 0.0000 0.0000 0.0000
Mg1 Mg 0.0000 0.0000 0.5000
Zr1 Zr 0.0000 0.0000 0.2438
```

Results
**DOS at the Fermi energy**: 21.7 states/eV/cell
**Electronic total energy**: -4.677 eV/atom
**ρ**: 4.60 g/cm3
**DFT formation energy**: 0.42 eV per atom